Below is a geometry-optimized Ag2BrF2 structure, with properties calculated at the PBE level.

a = 6.381 Å, b = 6.381 Å, c = 7.065 Å
α = 116.85°, β = 116.85°, γ = 90.00°
Sites, in units of the cell vectors:
Ag  0.446  0.731  0.892
Ag  0.411  0.196  0.392
Ag  0.981  0.196  0.392
Ag  0.446  0.161  0.892
Br  0.998  0.998  0.997
Br  0.248  0.748  0.497
F  0.645  0.919  0.290
F  0.621  0.395  0.790
F  0.169  0.395  0.790
F  0.645  0.371  0.290

Summary:
Space-group type: I4_1md, No. 109
VASP energy: -2.936 eV/atom



Below is a geometry-optimized PuTaO5 structure, with properties calculated at the PBE level.

a = 3.872 Å, b = 5.519 Å, c = 5.519 Å
α = 72.94°, β = 69.47°, γ = 69.47°
Sites, in units of the cell vectors:
Pu  0.500  0.500  0.500
Ta  0.000  0.000  0.000
O  0.744  0.256  0.256
O  0.000  0.301  0.699
O  0.500  0.000  0.000
O  0.000  0.699  0.301
O  0.256  0.744  0.744

Summary:
Space-group type: Immm, No. 71
VASP energy: -10.057 eV/atom



What is the VASP energy in the second record? -10.057 eV/atom